[1]
LiDyO3 | PBE | optimized geometry

Crystal system: trigonal

abc: 5.5229 5.5229 11.3365
angles: 90.00 90.00 120.00
With the nearest neighbours (Å) after each atom.
Space group R-3c (No. 167, hexagonal axes)
Asymmetric unit:
Li 0.0000 0.0000 0.0000 x6  6 O 1.92
Dy 0.0000 0.0000 0.2500 x6  9 O 2.27-2.52
O 0.0000 0.4104 0.2500 x18  2 Li 1.92



[2]
LiDyPO | PBE | optimized geometry

Crystal system: tetragonal

abc: 3.7540 3.7540 9.3872
angles: 90.00 90.00 90.00
With the nearest neighbours (Å) after each atom.
Space group P4/nmm (No. 129, origin choice 2)
Asymmetric unit:
Li 0.2500 0.7500 0.0000 x2  4 P 2.54, 4 Li 2.65
Dy 0.2500 0.2500 0.3753 x2  4 O 2.21
P 0.2500 0.2500 0.8169 x2  4 Li 2.54
O 0.2500 0.7500 0.5000 x2  4 Dy 2.21



no.,DFT total energy (eV for the cell shown)
1,-186.990
2,-48.137